1.
## Pm3AgGe4 (PBE)

Data for a relaxed structure of Pm3AgGe4.

Cell and atoms, written as CIF:
```
data_Pm3AgGe4
_cell_length_a 4.3661
_cell_length_b 6.0367
_cell_length_c 8.5253
_cell_angle_alpha 110.74
_cell_angle_beta 104.84
_cell_angle_gamma 90.00
_space_group_name_H-M_alt 'P 1'
_space_group_IT_number 1
_space_group_name_Hall 'P 1'
loop_
_atom_site_label
_atom_site_type_symbol
_atom_site_fract_x
_atom_site_fract_y
_atom_site_fract_z
Pm1 Pm 0.1922 0.1922 0.3844
Pm2 Pm 0.8078 0.8078 0.6156
Pm3 Pm 0.0000 0.5000 0.0000
Ag1 Ag 0.5000 0.0000 0.0000
Ge1 Ge 0.3755 0.5822 0.7510
Ge2 Ge 0.6245 0.4178 0.2490
Ge3 Ge 0.6245 0.8311 0.2490
Ge4 Ge 0.3755 0.1689 0.7510
```

Properties
* M_tot: 0.000 μB per cell
* formation energy: -0.58 eV/atom
* VASP energy: -5.028 eV/atom

---

2.
## PmAgGe2 (PBE)

Data for a relaxed structure of PmAgGe2.

Cell and atoms, written as CIF:
```
data_PmAgGe2
_cell_length_a 3.6037
_cell_length_b 3.6037
_cell_length_c 6.6062
_cell_angle_alpha 90.00
_cell_angle_beta 90.00
_cell_angle_gamma 90.00
_space_group_name_H-M_alt 'P 1'
_space_group_IT_number 1
_space_group_name_Hall 'P 1'
loop_
_atom_site_label
_atom_site_type_symbol
_atom_site_fract_x
_atom_site_fract_y
_atom_site_fract_z
Ge1 Ge 0.0000 0.0000 0.8008
Ge2 Ge 0.0000 0.0000 0.1992
Ag1 Ag 0.5000 0.5000 0.0000
Pm1 Pm 0.5000 0.5000 0.5000
```

Properties
* M_tot: 0.000 μB per cell
* formation energy: -0.17 eV/atom
* VASP energy: -4.378 eV/atom
* polymorph energy (0 for the lowest one): 301 meV/atom

---

The lowest VASP energy belongs to which entry? Pm3AgGe4

---

Copy entry 2 word for word.
## PmAgGe2 (PBE)

Data for a relaxed structure of PmAgGe2.

Cell and atoms, written as CIF:
```
data_PmAgGe2
_cell_length_a 3.6037
_cell_length_b 3.6037
_cell_length_c 6.6062
_cell_angle_alpha 90.00
_cell_angle_beta 90.00
_cell_angle_gamma 90.00
_space_group_name_H-M_alt 'P 1'
_space_group_IT_number 1
_space_group_name_Hall 'P 1'
loop_
_atom_site_label
_atom_site_type_symbol
_atom_site_fract_x
_atom_site_fract_y
_atom_site_fract_z
Ge1 Ge 0.0000 0.0000 0.8008
Ge2 Ge 0.0000 0.0000 0.1992
Ag1 Ag 0.5000 0.5000 0.0000
Pm1 Pm 0.5000 0.5000 0.5000
```

Properties
* M_tot: 0.000 μB per cell
* formation energy: -0.17 eV/atom
* VASP energy: -4.378 eV/atom
* polymorph energy (0 for the lowest one): 301 meV/atom

---

Repeat the first record exactly.
## Pm3AgGe4 (PBE)

Data for a relaxed structure of Pm3AgGe4.

Cell and atoms, written as CIF:
```
data_Pm3AgGe4
_cell_length_a 4.3661
_cell_length_b 6.0367
_cell_length_c 8.5253
_cell_angle_alpha 110.74
_cell_angle_beta 104.84
_cell_angle_gamma 90.00
_space_group_name_H-M_alt 'P 1'
_space_group_IT_number 1
_space_group_name_Hall 'P 1'
loop_
_atom_site_label
_atom_site_type_symbol
_atom_site_fract_x
_atom_site_fract_y
_atom_site_fract_z
Pm1 Pm 0.1922 0.1922 0.3844
Pm2 Pm 0.8078 0.8078 0.6156
Pm3 Pm 0.0000 0.5000 0.0000
Ag1 Ag 0.5000 0.0000 0.0000
Ge1 Ge 0.3755 0.5822 0.7510
Ge2 Ge 0.6245 0.4178 0.2490
Ge3 Ge 0.6245 0.8311 0.2490
Ge4 Ge 0.3755 0.1689 0.7510
```

Properties
* M_tot: 0.000 μB per cell
* formation energy: -0.58 eV/atom
* VASP energy: -5.028 eV/atom

---

Among the records above, which one has the highest formation energy? PmAgGe2